1.
Below is a geometry-optimized CuRuW2 structure, with properties calculated at the PBE level.

Summary:
Total magnetic moment = 0.0 Bohr magnetons per cell
Density of states at the Fermi level = 0.91 states/eV/atom
Energy relative to the lowest polymorph listed for this composition = 6.2 kJ per mole of atoms
Uncorrected energy = -0.3522 Ha/atom
Volume = 116.9 Å³/cell

a = 3.8304 Å, b = 3.8304 Å, c = 7.9670 Å
α = 90.00°, β = 90.00°, γ = 90.00°
Space group I4/mmm (No. 139)
Inequivalent atoms, fractional coordinates:
Cu (0.0000, 0.0000, 0.0000)
Ru (0.0000, 0.0000, 0.5000)
W (0.0000, 0.5000, 0.2500)


2.
Below is a geometry-optimized CuRuW2 structure, with properties calculated at the PBE level.

Summary:
Total magnetic moment = 0.0 Bohr magnetons per cell
Density of states at the Fermi level = 0.84 states/eV/atom
Energy relative to the lowest polymorph listed for this composition = 15.0 kJ per mole of atoms
Uncorrected energy = -0.3488 Ha/atom
Volume = 119.0 Å³/cell

a = 3.1145 Å, b = 4.3906 Å, c = 8.6999 Å
α = 90.00°, β = 90.00°, γ = 90.00°
Space group Imm2 (No. 44)
Inequivalent atoms, fractional coordinates:
Cu (0.0000, 0.0000, 0.0000)
Ru (0.0000, 0.5000, 0.7568)
W (0.0000, 0.0000, 0.5034)
W (0.0000, 0.5000, 0.2452)


3.
Below is a geometry-optimized CuRuW3 structure, with properties calculated at the PBE level.

Summary:
Total magnetic moment = 0.0 Bohr magnetons per cell
Density of states at the Fermi level = 1.72 states/eV/atom
Energy relative to the lowest polymorph listed for this composition = 0.0 kJ per mole of atoms
Uncorrected energy = -0.3128 Ha/atom
Volume = 88.0 Å³/cell

a = 4.4474 Å, b = 4.4474 Å, c = 4.4474 Å
α = 90.00°, β = 90.00°, γ = 90.00°
Space group Pm-3m (No. 221)
Inequivalent atoms, fractional coordinates:
Cu (0.0000, 0.0000, 0.0000)
Ru (0.5000, 0.5000, 0.5000)
W (0.0000, 0.0000, 0.5000)


Number 1: energy relative to the elements 236 meV/atom. Number 2: energy relative to the elements 328 meV/atom. Number 3: energy relative to the elements 1936 meV/atom.